Entry 1:
DFT (PBE-GGA) results for a geometry-optimized CsTb2CuTe4 structure.

Unit cell a=4.4420 b=15.6306 c=15.5495 alpha=90.00 beta=90.00 gamma=90.00
Space group Cmcm (No. 63)
One atom of each set of equivalent atoms:
Cs  0.0000  0.1095  0.2500 x4
Tb  0.0000  0.3666  0.0630 x8
Cu  0.0000  0.1643  0.7500 x4
Te  0.0000  0.0000  0.0000 x4
Te  0.0000  0.2605  0.6087 x8
Te  0.0000  0.4259  0.2500 x4

Values from the calculation:
- total DFT energy (no corrections) (eV for the cell shown) = -142.213

Entry 2:
DFT (PBE-GGA) results for a geometry-optimized RbTmTlTe3 structure.

Unit cell a=4.5363 b=16.5674 c=12.1204 alpha=90.00 beta=90.00 gamma=90.00
Space group Cmcm (No. 63)
One atom of each set of equivalent atoms:
Rb  0.0000  0.2473  0.2500 x4
Tm  0.0000  0.5000  0.0000 x4
Tl  0.0000  0.0595  0.7500 x4
Te  0.0000  0.1270  0.5181 x8
Te  0.0000  0.4404  0.7500 x4

Values from the calculation:
- ΔE to the lowest computed polymorph (meV/atom) = 59

Mass density / g/cm³: 6.30, 6.14
Total moment / Bohr magnetons per cell: 0.001, 0.040